Rb3Mg2PaO6: optimized geometry, PBE-GGA.

The total moment comes out at 0.000 μB/atom. The calculation puts the total energy at -6.12 eV/atom. Its energy relative to the elements, uncorrected is -2712 kJ/mol of formula units. The volume is 254 Å³ per cell.

It has space group P-3m1 (No. 164), with a = 6.2926 Å, b = 6.2926 Å, c = 7.4074 Å, α = 90.00°, β = 90.00° and γ = 120.00°. The asymmetric unit holds Rb at (0.0000, 0.0000, 0.0000), Rb at (0.3333, 0.6667, 0.7353), Mg at (0.3333, 0.6667, 0.3067), Pa at (0.0000, 0.0000, 0.5000) and O at (0.1600, 0.3200, 0.3171).